[1]
A plane-wave DFT calculation with meta-GGA SCAN was carried out for a crystal of AsRuS3 relaxed with PBEsol.

Structure (CIF):
```
data_AsRuS3
_symmetry_space_group_name_H-M 'P m -3 m'
_symmetry_Int_Tables_number 221
_symmetry_space_group_name_Hall '-P 4 2 3'
_cell_length_a 4.515
_cell_length_b 4.515
_cell_length_c 4.515
_cell_angle_alpha 90.00
_cell_angle_beta 90.00
_cell_angle_gamma 90.00
loop_
_atom_site_label
_atom_site_fract_x
_atom_site_fract_y
_atom_site_fract_z
_atom_site_occupancy
As1 0.000 0.000 0.000 1
Ru1 0.500 0.500 0.500 1
S1 0.000 0.500 0.500 1
```

[2]
A plane-wave DFT calculation with meta-GGA SCAN was carried out for a crystal of TeRhN2F relaxed with PBEsol.

Structure (CIF):
```
data_TeRhN2F
_symmetry_space_group_name_H-M 'P 4/m m m'
_symmetry_Int_Tables_number 123
_symmetry_space_group_name_Hall '-P 4 2'
_cell_length_a 4.056
_cell_length_b 4.056
_cell_length_c 4.002
_cell_angle_alpha 90.00
_cell_angle_beta 90.00
_cell_angle_gamma 90.00
loop_
_atom_site_label
_atom_site_fract_x
_atom_site_fract_y
_atom_site_fract_z
_atom_site_occupancy
Te1 0.000 0.000 0.000 1
Rh1 0.500 0.500 0.500 1
N1 0.000 0.500 0.000 1
F1 0.000 0.000 0.500 1
```

[3]
A plane-wave DFT calculation with meta-GGA SCAN was carried out for a crystal of CsGa2GeSb relaxed with PBEsol.

Structure (CIF):
```
data_CsGa2GeSb
_symmetry_space_group_name_H-M 'P 4/m m m'
_symmetry_Int_Tables_number 123
_symmetry_space_group_name_Hall '-P 4 2'
_cell_length_a 5.336
_cell_length_b 5.336
_cell_length_c 5.396
_cell_angle_alpha 90.00
_cell_angle_beta 90.00
_cell_angle_gamma 90.00
loop_
_atom_site_label
_atom_site_fract_x
_atom_site_fract_y
_atom_site_fract_z
_atom_site_occupancy
Cs1 0.000 0.000 0.000 1
Ga1 0.000 0.500 0.500 1
Ge1 0.500 0.500 0.500 1
Sb1 0.500 0.500 0.000 1
```

Calculated total energy for the records above, in order: -16.201; -17.403; -25.146 eV/atom
Size of the total moment for the records above, in order: 0.0; 0.0; 0.0 Bohr magnetons per cell